Record 1
Material: Rb2LiGeAs2
Method: DFT, PBE
State: relaxed

## Properties
Energy of formation from the pure elements = -0.4108 eV/atom

Unit cell a=6.606 b=15.869 c=6.617 alpha=90.00 beta=90.00 gamma=90.00
Space group Ibam (No. 72)
Symmetry-distinct sites (fractional):
Rb 0.237 0.170 0.000 (multiplicity 8)
Li 0.000 0.000 0.250 (multiplicity 4)
Ge 0.000 0.500 0.250 (multiplicity 4)
As 0.235 0.413 0.000 (multiplicity 8)



Record 2
Material: YZnTe2
Method: DFT, PBE
State: relaxed

## Properties
Energy above the lowest structure with this stoichiometry = 0.320 eV/atom
Uncorrected formation energy = -606 meV per atom

Unit cell a=4.294 b=4.294 c=11.418 alpha=90.00 beta=90.00 gamma=90.00
Space group I-4m2 (No. 119)
Symmetry-distinct sites (fractional):
Y 0.000 0.000 0.000 (multiplicity 2)
Zn 0.000 0.500 0.750 (multiplicity 2)
Te 0.000 0.000 0.500 (multiplicity 2)
Te 0.000 0.500 0.250 (multiplicity 2)



Record 3
Material: ErCoH3
Method: DFT, PBE
State: relaxed

## Properties
VASP energy = -46.6 eV per cell

Unit cell a=3.445 b=3.445 c=8.127 alpha=90.00 beta=90.00 gamma=90.00
Space group I4mm (No. 107)
Symmetry-distinct sites (fractional):
Er 0.000 0.000 0.000 (multiplicity 2)
Co 0.000 0.000 0.662 (multiplicity 2)
H 0.000 0.000 0.465 (multiplicity 2)
H 0.000 0.500 0.201 (multiplicity 4)



Record 4
Material: Dy5Ho2Er4
Method: DFT, PBE
State: relaxed

## Properties
Energy above the lowest structure with this stoichiometry = 0.000 eV/atom
Energy of formation from the pure elements = 0.1406 eV/atom

Unit cell a=10.907 b=7.258 c=9.124 alpha=90.00 beta=107.11 gamma=90.00
Space group C2/m (No. 12)
Symmetry-distinct sites (fractional):
Dy 0.000 0.000 0.000 (multiplicity 2)
Dy 0.068 0.279 0.278 (multiplicity 8)
Ho 0.146 0.000 0.621 (multiplicity 4)
Er 0.169 0.500 0.622 (multiplicity 4)
Er 0.183 0.500 0.999 (multiplicity 4)



Record 5
Material: USeS2
Method: DFT, PBE
State: relaxed

## Properties
Energy above the lowest structure with this stoichiometry = 0.000 eV/atom
Uncorrected formation energy = -894 meV per atom

Unit cell a=4.5028 b=4.5028 c=5.4862 alpha=90.00 beta=90.00 gamma=120.00
Space group P-3m1 (No. 164)
Symmetry-distinct sites (fractional):
U 0.0000 0.0000 0.0000 (multiplicity 1)
Se 0.0000 0.0000 0.5000 (multiplicity 1)
S 0.3333 0.6667 0.1356 (multiplicity 2)



Record 6
Material: BaSr2LiCu
Method: DFT, PBE
State: relaxed

## Properties
Energy above the lowest structure with this stoichiometry = 0.039 eV/atom
Energy of formation from the pure elements = 0.0948 eV/atom

Unit cell a=6.082 b=6.082 c=5.515 alpha=90.00 beta=90.00 gamma=90.00
Space group P4/mmm (No. 123)
Symmetry-distinct sites (fractional):
Ba 0.000 0.000 0.000 (multiplicity 1)
Sr 0.000 0.500 0.500 (multiplicity 2)
Li 0.500 0.500 0.000 (multiplicity 1)
Cu 0.500 0.500 0.500 (multiplicity 1)



Number 1: N(E_F) 0.332 states/eV per atom, total magnetic moment 0.0000 μB per atom. Number 2: N(E_F) 0.419 states/eV per atom, total magnetic moment 0.0000 μB per atom. Number 3: N(E_F) 0.399 states/eV per atom, total magnetic moment 0.0846 μB per atom. Number 4: N(E_F) 1.669 states/eV per atom, total magnetic moment 0.0000 μB per atom. Number 5: N(E_F) 0.179 states/eV per atom, total magnetic moment 0.0177 μB per atom. Number 6: N(E_F) 1.104 states/eV per atom, total magnetic moment 0.0000 μB per atom.